A plane-wave DFT calculation with PBE was carried out for Li2ReAu after structural relaxation.

Cell: 3.0739 4.3379 9.0415 Å, 90.00 90.00 90.00°
With the nearest neighbours (Å) after each atom.
Fractional positions:
Li (0.0000, 0.0000, 0.2482)  4 Li 2.66, 2 Re 2.72, 2 Au 2.75
Li (0.0000, 0.0000, 0.7518)  4 Li 2.66, 2 Re 2.72, 2 Au 2.75
Li (0.5000, 0.5000, 0.2482)  4 Li 2.66, 2 Re 2.72, 2 Au 2.75
Li (0.5000, 0.5000, 0.7518)  4 Li 2.66, 2 Re 2.72, 2 Au 2.75
Re (0.0000, 0.5000, 0.0000)  4 Re 2.66, 4 Li 2.72
Re (0.5000, 0.0000, 0.0000)  4 Re 2.66, 4 Li 2.72
Au (0.0000, 0.5000, 0.5000)  4 Au 2.66, 4 Li 2.75
Au (0.5000, 0.0000, 0.5000)  4 Au 2.66, 4 Li 2.75

Results
SG: Cmmm
Formation enthalpy at 0 K, kcal/mol of atoms: 0.20
Relative energy among the computed polymorphs, kJ/mol of atoms: 0.0
D(E_F), states/eV/f.u.: 2.38
Calculated volume, Å³ per atom: 15.070